Material: Tl2GeAs2
Method: DFT, PBE
State: relaxed Values from VASP.

Cell and atoms, written as Quantum ESPRESSO input:
```
&SYSTEM
  ibrav = 0, nat = 10, ntyp = 3
/
ATOMIC_SPECIES
Tl 204.38 Tl.upf
Ge 72.64 Ge.upf
As 74.92 As.upf
CELL_PARAMETERS angstrom
6.9360 0.0000 0.0000
0.0000 6.9360 0.0000
0.0000 0.0000 5.5761
ATOMIC_POSITIONS angstrom
Tl 1.2891 2.1789 0.0000
Tl 2.1789 5.6469 0.0000
Tl 4.7571 1.2891 0.0000
Tl 5.6469 4.7571 0.0000
Ge 0.0000 0.0000 2.7880
Ge 3.4680 3.4680 2.7880
As 0.8663 4.3343 2.7880
As 2.6018 0.8663 2.7880
As 4.3343 6.0698 2.7880
As 6.0698 2.6018 2.7880
```

- Energy above the most stable polymorph in this dataset: 0.000 eV/atom
- Energy of formation: 0.103 eV/atom
- Uncorrected energy: -3.627 eV/atom
- Space group: No. 127